1.
7
Lattice="-3.065 3.065 2.946 3.065 -3.065 2.946 3.065 3.065 -2.946" Properties=species:S:1:pos:R:3 comment="MnAl2Pd4 | Alexandria | PBE-GGA | relaxed" energy_ev_per_atom=-5.873 formation_energy_mev_per_atom=-526 n_ef_per_ev_atom=0.656 pbc="T T T"
Mn 0.000 0.000 0.000
Al 3.065 0.000 0.000
Al 0.000 3.065 0.000
Pd 1.532 1.532 -1.473
Pd 1.532 -1.532 1.473
Pd -1.532 1.532 1.473
Pd 1.532 1.532 1.473



2.
10
Lattice="2.152 -8.028 0.000 2.152 8.028 0.000 0.000 0.000 4.295" Properties=species:S:1:pos:R:3 comment="MnAlPd3 | Alexandria | PBE-GGA | relaxed" energy_ev_per_atom=-6.241 formation_energy_mev_per_atom=-543 n_ef_per_ev_atom=0.491 pbc="T T T"
Mn 2.152 5.613 3.221
Mn 2.152 -5.613 1.074
Al 2.152 2.389 3.221
Al 2.152 -2.389 1.074
Pd 2.152 7.081 1.074
Pd 2.152 4.001 1.074
Pd 2.152 0.952 1.074
Pd 2.152 -0.952 3.221
Pd 2.152 -4.001 3.221
Pd 2.152 -7.081 3.221



3.
5
Lattice="4.701 0.000 0.000 0.000 4.701 0.000 0.000 0.000 4.701" Properties=species:S:1:pos:R:3 comment="MnAl3Pd | Alexandria | PBE-GGA | relaxed" energy_ev_per_atom=-4.858 formation_energy_mev_per_atom=260 n_ef_per_ev_atom=0.751 pbc="T T T"
Mn 0.000 0.000 0.000
Al 0.000 2.351 2.351
Al 2.351 0.000 2.351
Al 2.351 2.351 0.000
Pd 2.351 2.351 2.351



4.
6
Lattice="5.370 -1.468 0.000 5.370 1.468 0.000 -1.616 0.000 5.683" Properties=species:S:1:pos:R:3 comment="MnAlPd4 | Alexandria | PBE-GGA | relaxed" energy_ev_per_atom=-6.114 formation_energy_mev_per_atom=-501 n_ef_per_ev_atom=0.450 pbc="T T T"
Mn 0.000 0.000 0.000
Al -0.808 0.000 2.841
Pd 3.413 0.000 1.017
Pd 2.660 0.000 3.790
Pd 6.465 0.000 1.893
Pd 5.712 0.000 4.665



5.
12
Lattice="-2.248 2.981 6.745 2.248 -2.981 6.745 2.248 2.981 -6.745" Properties=species:S:1:pos:R:3 comment="Mn5AlPd6 | Alexandria | PBE-GGA | relaxed" energy_ev_per_atom=-7.046 formation_energy_mev_per_atom=-317 n_ef_per_ev_atom=0.392 pbc="T T T"
Mn 0.000 0.000 0.000
Mn 2.248 0.000 2.251
Mn 0.000 0.000 4.456
Mn 0.000 0.000 9.034
Mn 0.000 2.981 4.494
Al 0.000 2.981 0.000
Pd 2.248 -1.476 4.541
Pd 2.248 1.517 0.000
Pd 0.000 1.505 2.204
Pd 2.248 1.476 4.541
Pd 0.000 1.465 6.745
Pd 0.000 4.457 2.204



6.
10
Lattice="6.756 0.000 0.000 0.000 6.756 0.000 0.000 0.000 3.555" Properties=species:S:1:pos:R:3 comment="Mn2AlPd2 | Alexandria | PBE-GGA | relaxed" energy_ev_per_atom=-6.645 formation_energy_mev_per_atom=-152 n_ef_per_ev_atom=0.616 pbc="T T T"
Mn 1.069 2.309 0.000
Mn 2.309 5.687 0.000
Mn 4.447 1.069 0.000
Mn 5.687 4.447 0.000
Al 0.000 0.000 1.777
Al 3.378 3.378 1.777
Pd 0.974 4.352 1.777
Pd 2.404 0.974 1.777
Pd 4.352 5.782 1.777
Pd 5.782 2.404 1.777



7.
19
Lattice="6.427 -3.652 0.000 6.427 3.652 0.000 -0.508 0.000 6.225" Properties=species:S:1:pos:R:3 comment="Mn2Al5Pd12 | Alexandria | PBE-GGA | relaxed" energy_ev_per_atom=-5.781 formation_energy_mev_per_atom=-551 n_ef_per_ev_atom=0.323 pbc="T T T"
Mn 6.427 2.178 0.000
Mn 6.427 -2.178 0.000
Al -0.254 0.000 3.112
Al 2.914 0.000 3.306
Al 4.303 0.000 0.489
Al 8.043 0.000 5.735
Al 9.432 0.000 2.919
Pd 3.506 2.070 4.952
Pd 1.433 0.000 5.305
Pd 4.903 1.506 2.563
Pd 7.443 1.506 3.661
Pd 8.840 2.070 1.272
Pd 5.447 0.000 4.851
Pd 6.899 0.000 1.374
Pd 3.506 -2.070 4.952
Pd 4.903 -1.506 2.563
Pd 7.443 -1.506 3.661
Pd 10.913 0.000 0.920
Pd 8.840 -2.070 1.272



8.
8
Lattice="-1.951 1.951 8.665 1.951 -1.951 8.665 1.951 1.951 -8.665" Properties=species:S:1:pos:R:3 comment="MnAlPd2 | Alexandria | PBE-GGA | relaxed" energy_ev_per_atom=-5.910 formation_energy_mev_per_atom=-86 n_ef_per_ev_atom=0.700 pbc="T T T"
Mn 0.000 0.000 0.000
Mn 0.000 1.951 4.332
Al 1.951 0.000 4.332
Al 0.000 0.000 8.665
Pd 0.976 -0.956 6.498
Pd 0.995 0.976 2.166
Pd 0.976 2.907 -2.166
Pd 0.956 0.976 10.831



Repeat the second record exactly.
10
Lattice="2.152 -8.028 0.000 2.152 8.028 0.000 0.000 0.000 4.295" Properties=species:S:1:pos:R:3 comment="MnAlPd3 | Alexandria | PBE-GGA | relaxed" energy_ev_per_atom=-6.241 formation_energy_mev_per_atom=-543 n_ef_per_ev_atom=0.491 pbc="T T T"
Mn 2.152 5.613 3.221
Mn 2.152 -5.613 1.074
Al 2.152 2.389 3.221
Al 2.152 -2.389 1.074
Pd 2.152 7.081 1.074
Pd 2.152 4.001 1.074
Pd 2.152 0.952 1.074
Pd 2.152 -0.952 3.221
Pd 2.152 -4.001 3.221
Pd 2.152 -7.081 3.221



What did the third record say?
5
Lattice="4.701 0.000 0.000 0.000 4.701 0.000 0.000 0.000 4.701" Properties=species:S:1:pos:R:3 comment="MnAl3Pd | Alexandria | PBE-GGA | relaxed" energy_ev_per_atom=-4.858 formation_energy_mev_per_atom=260 n_ef_per_ev_atom=0.751 pbc="T T T"
Mn 0.000 0.000 0.000
Al 0.000 2.351 2.351
Al 2.351 0.000 2.351
Al 2.351 2.351 0.000
Pd 2.351 2.351 2.351